A plane-wave DFT calculation with GGA-PBE was carried out for crystalline PrErNi2As2 at its relaxed geometry.

Cell: 4.0882 4.0882 7.9022 Å, 90.00 90.00 120.00°
With the nearest neighbours (Å) after each atom.
Atoms (fractional coordinates):
Ni 0.3333 0.6667 0.7362  3 As 2.36
Ni 0.6667 0.3333 0.2638  3 As 2.36
Pr 0.0000 0.0000 0.0000  6 As 3.14, 6 Ni 3.15
Er 0.0000 0.0000 0.5000  6 Ni 3.01, 6 As 3.01
As 0.6667 0.3333 0.7371  3 Ni 2.36
As 0.3333 0.6667 0.2629  3 Ni 2.36

Properties
Calculated volume   114.38 Å³ per cell
Space group   No. 164
Size of the total moment   0.00 μB/f.u.
DFT total energy   -6.0693 eV per atom

A plane-wave DFT calculation with GGA-PBE was carried out for crystalline Er2Ni3As4Rh at its relaxed geometry.

Cell: 4.1621 4.1621 9.5380 Å, 90.00 90.00 90.00°
With the nearest neighbours (Å) after each atom.
Atoms (fractional coordinates):
As 0.5000 0.0000 0.6387  3 Ni 2.30-2.47, 2 Rh 2.47
As 0.0000 0.5000 0.3613  3 Ni 2.30-2.47, 2 Rh 2.47
As 0.0000 0.0000 0.0000  4 Ni 2.38
As 0.5000 0.5000 0.0000  4 Ni 2.38
Ni 0.0000 0.5000 0.1201  5 As 2.30-2.38
Ni 0.0000 0.0000 0.5000  4 As 2.47
Ni 0.5000 0.0000 0.8799  5 As 2.30-2.38
Rh 0.5000 0.5000 0.5000  4 As 2.47
Er 0.5000 0.0000 0.2481  8 As 3.13-3.15, 6 Ni 3.18-3.19, 2 Rh 3.18
Er 0.0000 0.5000 0.7519  8 As 3.13-3.15, 2 Rh 3.18, 6 Ni 3.18-3.19

Properties
Calculated volume   165.23 Å³ per cell
Space group   No. 115
Size of the total moment   0.00 μB/f.u.
DFT total energy   -6.0241 eV per atom

A plane-wave DFT calculation with GGA-PBE was carried out for crystalline SrErNi2As2 at its relaxed geometry.

Cell: 4.0755 4.0755 8.3049 Å, 90.00 90.00 120.00°
With the nearest neighbours (Å) after each atom.
Atoms (fractional coordinates):
Sr 0.0000 0.0000 0.0000  6 As 3.25, 6 Ni 3.31
Er 0.0000 0.0000 0.5000  6 Ni 2.98, 6 As 3.03
Ni 0.3333 0.6667 0.7198  3 As 2.35
Ni 0.6667 0.3333 0.2802  3 As 2.35
As 0.3333 0.6667 0.2699  3 Ni 2.35
As 0.6667 0.3333 0.7301  3 Ni 2.35

Properties
Calculated volume   119.46 Å³ per cell
Space group   No. 164
Size of the total moment   0.00 μB/f.u.
DFT total energy   -5.4497 eV per atom

A plane-wave DFT calculation with GGA-PBE was carried out for crystalline Er5Zr3Ni16As12 at its relaxed geometry.

Cell: 12.7524 12.7524 3.9179 Å, 90.00 90.00 120.00°
With the nearest neighbours (Å) after each atom.
Atoms (fractional coordinates):
As 0.6934 0.5204 0.5000  5 Ni 2.39-2.43
As 0.0000 0.6447 0.0000  6 Ni 2.33-2.52
As 0.8224 0.8224 0.0000  5 Ni 2.27-2.45
As 0.5204 0.6934 0.5000  5 Ni 2.39-2.43
As 0.6447 0.0000 0.0000  6 Ni 2.33-2.52
As 0.4796 0.1730 0.5000  5 Ni 2.39-2.43
As 0.1730 0.4796 0.5000  5 Ni 2.39-2.43
As 0.3553 0.3553 0.0000  6 Ni 2.33-2.52
As 0.0000 0.1776 0.0000  5 Ni 2.27-2.45
As 0.8270 0.3066 0.5000  5 Ni 2.39-2.43
As 0.1776 0.0000 0.0000  5 Ni 2.27-2.45
As 0.3066 0.8270 0.5000  5 Ni 2.39-2.43
Ni 0.1214 0.6379 0.5000  4 As 2.39-2.52
Ni 0.8786 0.5165 0.5000  4 As 2.39-2.52
Ni 0.6379 0.1214 0.5000  4 As 2.39-2.52
Ni 0.6236 0.8074 0.0000  4 As 2.33-2.45
Ni 0.0000 0.2756 0.5000  4 As 2.32-2.43
Ni 0.0000 0.0000 0.0000  3 As 2.27
Ni 0.7244 0.7244 0.5000  4 As 2.32-2.43
Ni 0.5165 0.8786 0.5000  4 As 2.39-2.52
Ni 0.4835 0.3621 0.5000  4 As 2.39-2.52
Ni 0.1839 0.3764 0.0000  4 As 2.33-2.45
Ni 0.2756 0.0000 0.5000  4 As 2.32-2.43
Ni 0.1926 0.8161 0.0000  4 As 2.33-2.45
Ni 0.3621 0.4835 0.5000  4 As 2.39-2.52
Ni 0.8161 0.1926 0.0000  4 As 2.33-2.45
Ni 0.3764 0.1839 0.0000  4 As 2.33-2.45
Ni 0.8074 0.6236 0.0000  4 As 2.33-2.45
Er 0.1839 0.1839 0.5000  6 As 2.94-3.03, 8 Ni 3.06-3.14
Er 0.0000 0.8161 0.5000  6 As 2.94-3.03, 8 Ni 3.06-3.14
Er 0.6667 0.3333 0.0000  6 As 2.97, 9 Ni 3.21
Er 0.3333 0.6667 0.0000  6 As 2.97, 9 Ni 3.21
Er 0.8161 0.0000 0.5000  6 As 2.94-3.03, 8 Ni 3.06-3.14
Zr 0.5634 0.5634 0.0000  5 As 2.65-2.79, 4 Ni 2.81-2.84
Zr 0.4366 0.0000 0.0000  5 As 2.65-2.79, 4 Ni 2.81-2.84
Zr 0.0000 0.4366 0.0000  5 As 2.65-2.79, 4 Ni 2.81-2.84

Properties
Calculated volume   551.78 Å³ per cell
Space group   No. 189
Size of the total moment   0.00 μB/f.u.
DFT total energy   -6.2916 eV per atom

A plane-wave DFT calculation with GGA-PBE was carried out for crystalline ErNp4As5 at its relaxed geometry.

Cell: 4.0658 5.7880 10.8994 Å, 105.40 100.75 90.00°
With the nearest neighbours (Å) after each atom.
Atoms (fractional coordinates):
As 0.0000 0.5000 0.0000  4 Np 2.87, 2 Er 2.89
As 0.6002 0.1002 0.2004  4 Np 2.89-2.90, 2 Er 2.90
As 0.3998 0.8998 0.7996  4 Np 2.89-2.90, 2 Er 2.90
As 0.8008 0.3008 0.6017  6 Np 2.89-2.91
As 0.1992 0.6992 0.3983  6 Np 2.89-2.91
Np 0.2004 0.2004 0.4008  6 As 2.89-2.90
Np 0.4015 0.4015 0.8030  6 As 2.87-2.91
Np 0.7996 0.7996 0.5992  6 As 2.89-2.90
Np 0.5985 0.5985 0.1970  6 As 2.87-2.91
Er 0.0000 0.0000 0.0000  6 As 2.89-2.90

Properties
Calculated volume   242.62 Å³ per cell
Space group   No. 71
Size of the total moment   0.04 μB/f.u.
DFT total energy   -8.7753 eV per atom

A plane-wave DFT calculation with GGA-PBE was carried out for crystalline ErNp3As4 at its relaxed geometry.

Cell: 5.8000 5.8000 5.8000 Å, 90.00 90.00 90.00°
With the nearest neighbours (Å) after each atom.
Atoms (fractional coordinates):
Er 0.0000 0.0000 0.0000  6 As 2.90
Np 0.5000 0.0000 0.5000  6 As 2.90
Np 0.5000 0.5000 0.0000  6 As 2.90
Np 0.0000 0.5000 0.5000  6 As 2.90
As 0.0000 0.0000 0.5000  4 Np 2.90, 2 Er 2.90
As 0.5000 0.5000 0.5000  6 Np 2.90
As 0.5000 0.0000 0.0000  4 Np 2.90, 2 Er 2.90
As 0.0000 0.5000 0.0000  4 Np 2.90, 2 Er 2.90

Properties
Calculated volume   195.11 Å³ per cell
Space group   No. 221
Size of the total moment   11.75 μB/f.u.
DFT total energy   -8.6393 eV per atom

A plane-wave DFT calculation with GGA-PBE was carried out for crystalline Er2NpAs3 at its relaxed geometry.

Cell: 4.0914 4.0913 9.1206 Å, 102.96 102.96 90.00°
With the nearest neighbours (Å) after each atom.
Atoms (fractional coordinates):
Er 0.1022 0.1035 0.2098  6 As 2.87-2.90
Er 0.7664 0.7677 0.5382  6 As 2.87-2.90
Np 0.4341 0.4358 0.8740  6 As 2.88-2.89
As 0.9341 0.9359 0.8740  4 Np 2.89, 2 Er 2.90
As 0.6007 0.6020 0.2068  5 Er 2.87-2.89, 1 Np 2.88
As 0.2679 0.2692 0.5411  5 Er 2.87-2.89, 1 Np 2.88

Properties
Calculated volume   144.79 Å³ per cell
Space group   No. 139
Size of the total moment   3.81 μB/f.u.
DFT total energy   -7.2341 eV per atom

A plane-wave DFT calculation with GGA-PBE was carried out for crystalline Er5NpAs6 at its relaxed geometry.

Cell: 7.0752 7.0752 7.0764 Å, 99.59 99.59 120.00°
With the nearest neighbours (Å) after each atom.
Atoms (fractional coordinates):
Er 0.8329 0.1671 0.5000  6 As 2.88-2.89
Er 0.3335 0.6665 0.0000  6 As 2.89
Er 0.5000 0.5000 0.5000  6 As 2.89-2.90
Er 0.1671 0.8329 0.5000  6 As 2.88-2.89
Er 0.6665 0.3335 0.0000  6 As 2.89
As 0.7507 0.7507 0.2489  1 Np 2.88, 5 Er 2.89-2.90
As 0.2493 0.2493 0.7511  1 Np 2.88, 5 Er 2.89-2.90
As 0.9167 0.5843 0.7499  1 Np 2.88, 5 Er 2.88-2.89
As 0.5843 0.9167 0.7499  1 Np 2.88, 5 Er 2.88-2.89
As 0.4157 0.0833 0.2501  1 Np 2.88, 5 Er 2.88-2.89
As 0.0833 0.4157 0.2501  1 Np 2.88, 5 Er 2.88-2.89
Np 0.0000 0.0000 0.0000  6 As 2.88

Properties
Calculated volume   289.25 Å³ per cell
Space group   No. 12
Size of the total moment   3.67 μB/f.u.
DFT total energy   -6.6764 eV per atom

A plane-wave DFT calculation with GGA-PBE was carried out for crystalline Er4NpAs5 at its relaxed geometry.

Cell: 4.0811 5.7726 10.8216 Å, 105.47 100.87 90.00°
With the nearest neighbours (Å) after each atom.
Atoms (fractional coordinates):
As 0.5997 0.0997 0.1994  2 Np 2.89, 4 Er 2.89-2.92
As 0.4003 0.9003 0.8006  2 Np 2.89, 4 Er 2.89-2.92
As 0.2003 0.7003 0.4005  6 Er 2.86-2.89
As 0.0000 0.5000 0.0000  2 Np 2.89, 4 Er 2.91
As 0.7997 0.2997 0.5995  6 Er 2.86-2.89
Er 0.3988 0.3988 0.7977  6 As 2.88-2.91
Er 0.6012 0.6012 0.2023  6 As 2.88-2.91
Er 0.7985 0.7985 0.5969  6 As 2.86-2.92
Er 0.2015 0.2015 0.4031  6 As 2.86-2.92
Np 0.0000 0.0000 0.0000  6 As 2.89

Properties
Calculated volume   240.96 Å³ per cell
Space group   No. 71
Size of the total moment   3.68 μB/f.u.
DFT total energy   -6.7903 eV per atom

A plane-wave DFT calculation with GGA-PBE was carried out for crystalline ErNpAsO2 at its relaxed geometry.

Cell: 3.7691 3.7691 6.6099 Å, 106.57 106.57 90.00°
With the nearest neighbours (Å) after each atom.
Atoms (fractional coordinates):
O 0.7498 0.2498 0.4996  2 Er 2.24, 2 Np 2.26
O 0.2498 0.7498 0.4996  2 Er 2.24, 2 Np 2.26
Np 0.8534 0.8534 0.7067  4 O 2.26
As 0.4967 0.4967 0.9934  4 Np 3.18, 4 Er 3.25, 4 O 3.53
Er 0.1504 0.1504 0.3007  4 O 2.24

Properties
Formation energy (no corrections)   -2429 meV/atom
Calculated volume   85.93 Å³ per cell
Space group   No. 107
Size of the total moment   3.02 μB/f.u.
DFT total energy   -8.8425 eV per atom

A plane-wave DFT calculation with GGA-PBE was carried out for crystalline Er2NpPaAs4 at its relaxed geometry.

Cell: 4.0902 7.1034 7.0674 Å, 70.54 90.00 90.00°
With the nearest neighbours (Å) after each atom.
Atoms (fractional coordinates):
Np 0.5000 0.5000 0.0000  6 As 2.90-2.91
As 0.0000 0.7508 0.7486  3 Er 2.89-2.90, 1 Pa 2.89, 2 Np 2.90
As 0.0000 0.2492 0.2514  3 Er 2.89-2.90, 1 Pa 2.89, 2 Np 2.90
As 0.5000 0.7517 0.2509  3 Er 2.88-2.89, 2 Pa 2.89, 1 Np 2.91
As 0.5000 0.2483 0.7491  3 Er 2.88-2.89, 2 Pa 2.89, 1 Np 2.91
Er 0.0000 0.0000 0.0000  6 As 2.89-2.90
Er 0.5000 0.0000 0.5000  6 As 2.88-2.89
Pa 0.0000 0.5000 0.5000  6 As 2.89

Properties
Calculated volume   193.60 Å³ per cell
Space group   No. 10
Size of the total moment   4.66 μB/f.u.
DFT total energy   -7.4636 eV per atom

A plane-wave DFT calculation with GGA-PBE was carried out for crystalline ErNpPa2As4 at its relaxed geometry.

Cell: 4.1022 7.1086 7.0585 Å, 109.58 90.00 90.00°
With the nearest neighbours (Å) after each atom.
Atoms (fractional coordinates):
Np 0.0000 0.0000 0.0000  6 As 2.90
As 0.5000 0.2515 0.2498  1 Er 2.88, 3 Pa 2.89-2.90, 2 Np 2.90
As 0.5000 0.7485 0.7502  1 Er 2.88, 3 Pa 2.89-2.90, 2 Np 2.90
As 0.0000 0.2516 0.7503  3 Pa 2.89-2.90, 2 Er 2.89, 1 Np 2.90
As 0.0000 0.7484 0.2497  3 Pa 2.89-2.90, 2 Er 2.89, 1 Np 2.90
Pa 0.5000 0.0000 0.5000  6 As 2.90
Pa 0.0000 0.5000 0.5000  6 As 2.89
Er 0.5000 0.5000 0.0000  6 As 2.88-2.89

Properties
Calculated volume   193.93 Å³ per cell
Space group   No. 10
Size of the total moment   4.71 μB/f.u.
DFT total energy   -7.9622 eV per atom